# MnAgAu | Alexandria via LeMat-Bulk | PBE | relaxed
data_MnAgAu
_symmetry_space_group_name_H-M 'A m m 2'
_symmetry_Int_Tables_number 38
_symmetry_space_group_name_Hall 'A 2 -2'
_cell_length_a 4.6928
_cell_length_b 3.0222
_cell_length_c 14.4586
_cell_angle_alpha 90.00
_cell_angle_beta 90.00
_cell_angle_gamma 90.00
loop_
_atom_site_label
_atom_site_fract_x
_atom_site_fract_y
_atom_site_fract_z
Mn1 0.0000 0.0000 0.0000
Mn2 0.5000 0.0000 0.1310
Ag1 0.0000 0.0000 0.3384
Ag2 0.0000 0.0000 0.6641
Au1 0.5000 0.0000 0.4717
Au2 0.5000 0.0000 0.7888
# **Calculated total energy**: -5.00 eV per atom
# **Total moment**: 4.1 μB/f.u.
# **Volume**: 51 Å³/f.u.
# **Energy relative to the elements**: 0.095 eV per atom